1.
A geometry-optimized YNbSeN2 structure, computed with GGA-PBE.

Lattice parameters (Å, degrees): 4.095 4.095 5.148 90.00 90.00 90.00
Positions (direct):
Y  0.000  0.000  0.000
Nb  0.500  0.500  0.500
Se  0.500  0.500  0.000
N  0.000  0.500  0.500
N  0.500  0.000  0.500

Calculated values
excess energy over the best structure of this formula in the dataset: 0 meV/atom
total magnetization: 0.00 μB per formula unit
total DFT energy (no corrections): -0.58021 Ry per atom

2.
A geometry-optimized YNb2SeN structure, computed with GGA-PBE.

Lattice parameters (Å, degrees): 5.333 5.333 4.126 90.00 90.00 90.00
Positions (direct):
Y  0.000  0.000  0.000
Nb  0.000  0.500  0.000
Nb  0.500  0.000  0.000
Se  0.500  0.500  0.500
N  0.000  0.000  0.500

Calculated values
total magnetization: 3.38 μB per formula unit
total DFT energy (no corrections): -0.44039 Ry per atom

3.
A geometry-optimized NbZnSeN2 structure, computed with GGA-PBE.

Lattice parameters (Å, degrees): 3.837 3.837 4.912 90.00 90.00 90.00
Positions (direct):
Nb  0.000  0.000  0.000
Zn  0.500  0.500  0.500
Se  0.500  0.500  0.000
N  0.000  0.500  0.500
N  0.500  0.000  0.500

Calculated values
excess energy over the best structure of this formula in the dataset: 1101 meV/atom
total magnetization: 0.00 μB per formula unit
total DFT energy (no corrections): -0.36392 Ry per atom

4.
A geometry-optimized NbZnSeN2 structure, computed with GGA-PBE.

Lattice parameters (Å, degrees): 3.973 3.973 5.597 90.00 90.00 90.00
Positions (direct):
Nb  0.000  0.000  0.000
Zn  0.500  0.500  0.500
Se  0.000  0.000  0.500
N  0.000  0.500  0.000
N  0.500  0.000  0.000

Calculated values
excess energy over the best structure of this formula in the dataset: 0 meV/atom
total magnetization: 0.51 μB per formula unit
total DFT energy (no corrections): -0.44484 Ry per atom

5.
A geometry-optimized ZrNbSeN2 structure, computed with GGA-PBE.

Lattice parameters (Å, degrees): 4.101 4.101 5.296 90.00 90.00 90.00
Positions (direct):
Zr  0.000  0.000  0.000
Nb  0.500  0.500  0.500
Se  0.000  0.000  0.500
N  0.000  0.500  0.000
N  0.500  0.000  0.000

Calculated values
excess energy over the best structure of this formula in the dataset: 583 meV/atom
total magnetization: 0.01 μB per formula unit
total DFT energy (no corrections): -0.52993 Ry per atom

6.
A geometry-optimized ZrNbSeN2 structure, computed with GGA-PBE.

Lattice parameters (Å, degrees): 4.035 4.035 5.122 90.00 90.00 90.00
Positions (direct):
Zr  0.000  0.000  0.000
Nb  0.500  0.500  0.500
Se  0.500  0.500  0.000
N  0.000  0.500  0.500
N  0.500  0.000  0.500

Calculated values
excess energy over the best structure of this formula in the dataset: 0 meV/atom
total magnetization: 0.00 μB per formula unit
total DFT energy (no corrections): -0.57281 Ry per atom